(1)
Material: Mn2ZnCo2
Method: DFT, GGA-PBE
State: relaxed

CIF file:
```
data_Mn2ZnCo2
_symmetry_space_group_name_H-M 'P 4/m b m'
_symmetry_Int_Tables_number 127
_symmetry_space_group_name_Hall '-P 4 2ab'
_cell_length_a 6.863
_cell_length_b 6.863
_cell_length_c 2.484
_cell_angle_alpha 90.00
_cell_angle_beta 90.00
_cell_angle_gamma 90.00
loop_
_atom_site_label
_atom_site_type_symbol
_atom_site_fract_x
_atom_site_fract_y
_atom_site_fract_z
Mn1 Mn 0.118 0.382 0.000
Zn1 Zn 0.000 0.000 0.000
Co1 Co 0.174 0.674 0.500
```

Formation energy from the elements in eV/atom: 0.224

=====

(2)
Material: YAlMo2
Method: DFT, GGA-PBE
State: relaxed

CIF file:
```
data_YAlMo2
_symmetry_space_group_name_H-M 'C 1 2/m 1'
_symmetry_Int_Tables_number 12
_cell_length_a 9.498
_cell_length_b 3.308
_cell_length_c 5.196
_cell_angle_alpha 90.00
_cell_angle_beta 103.11
_cell_angle_gamma 90.00
loop_
_symmetry_equiv_pos_as_xyz
'x,y,z'
'-x,-y,-z'
'-x,y,-z'
'x,-y,z'
'x+1/2,y+1/2,z'
'-x+1/2,-y+1/2,-z'
'-x+1/2,y+1/2,-z'
'x+1/2,-y+1/2,z'
loop_
_atom_site_label
_atom_site_type_symbol
_atom_site_fract_x
_atom_site_fract_y
_atom_site_fract_z
Y1 Y 0.000 0.000 0.000
Al1 Al 0.000 0.500 0.500
Mo1 Mo 0.237 0.000 0.671
```

Formation energy from the elements in eV/atom: 0.171

=====

(3)
Material: Ti2VS5
Method: DFT, GGA-PBE
State: relaxed

CIF file:
```
data_Ti2VS5
_symmetry_space_group_name_H-M 'C m c m'
_symmetry_Int_Tables_number 63
_symmetry_space_group_name_Hall '-C 2c 2'
_cell_length_a 4.777
_cell_length_b 11.651
_cell_length_c 11.392
_cell_angle_alpha 90.00
_cell_angle_beta 90.00
_cell_angle_gamma 90.00
loop_
_atom_site_label
_atom_site_type_symbol
_atom_site_fract_x
_atom_site_fract_y
_atom_site_fract_z
Ti1 Ti 0.000 0.165 0.044
V1 V 0.000 0.190 0.750
S1 S 0.000 0.043 0.617
S2 S 0.000 0.249 0.250
S3 S 0.000 0.332 0.581
```

Formation energy from raw total energies in kJ/mol of formula units: -845

=====

(4)
Material: Tb4CuSi3
Method: DFT, GGA-PBE
State: relaxed

CIF file:
```
data_Tb4CuSi3
_symmetry_space_group_name_H-M 'P m m 2'
_symmetry_Int_Tables_number 25
_cell_length_a 3.915
_cell_length_b 4.228
_cell_length_c 10.743
_cell_angle_alpha 90.00
_cell_angle_beta 90.00
_cell_angle_gamma 90.00
loop_
_symmetry_equiv_pos_as_xyz
'x,y,z'
'-x,-y,z'
'-x,y,z'
'x,-y,z'
loop_
_atom_site_label
_atom_site_type_symbol
_atom_site_fract_x
_atom_site_fract_y
_atom_site_fract_z
Tb1 Tb 0.000 0.000 0.000
Tb2 Tb 0.000 0.500 0.498
Tb3 Tb 0.500 0.000 0.718
Tb4 Tb 0.500 0.500 0.218
Cu1 Cu 0.000 0.500 0.793
Si1 Si 0.000 0.000 0.284
Si2 Si 0.500 0.000 0.430
Si3 Si 0.500 0.500 0.933
```

Formation energy from raw total energies in kJ/mol of formula units: -517

=====

(5)
Material: Tb2SbPb
Method: DFT, GGA-PBE
State: relaxed

CIF file:
```
data_Tb2SbPb
_symmetry_space_group_name_H-M 'C 1 2/m 1'
_symmetry_Int_Tables_number 12
_cell_length_a 7.384
_cell_length_b 4.266
_cell_length_c 8.187
_cell_angle_alpha 90.00
_cell_angle_beta 107.54
_cell_angle_gamma 90.00
loop_
_symmetry_equiv_pos_as_xyz
'x,y,z'
'-x,-y,-z'
'-x,y,-z'
'x,-y,z'
'x+1/2,y+1/2,z'
'-x+1/2,-y+1/2,-z'
'-x+1/2,y+1/2,-z'
'x+1/2,-y+1/2,z'
loop_
_atom_site_label
_atom_site_type_symbol
_atom_site_fract_x
_atom_site_fract_y
_atom_site_fract_z
Tb1 Tb 0.245 0.000 0.236
Sb1 Sb 0.000 0.500 0.000
Pb1 Pb 0.000 0.000 0.500
```

Formation energy from raw total energies in kJ/mol of formula units: -296

=====

(6)
Material: Ac2ScPtO6
Method: DFT, GGA-PBE
State: relaxed

CIF file:
```
data_Ac2ScPtO6
_symmetry_space_group_name_H-M 'P m m n'
_symmetry_Int_Tables_number 59
_cell_length_a 5.705
_cell_length_b 8.569
_cell_length_c 5.823
_cell_angle_alpha 90.00
_cell_angle_beta 90.00
_cell_angle_gamma 90.00
loop_
_symmetry_equiv_pos_as_xyz
'x,y,z'
'-x,-y,-z'
'-x+1/2,-y+1/2,z'
'x+1/2,y+1/2,-z'
'x+1/2,-y,-z'
'-x+1/2,y,z'
'-x,y+1/2,-z'
'x,-y+1/2,z'
loop_
_atom_site_label
_atom_site_type_symbol
_atom_site_fract_x
_atom_site_fract_y
_atom_site_fract_z
Ac1 Ac 0.250 0.001 0.228
Sc1 Sc 0.250 0.750 0.753
Pt1 Pt 0.250 0.250 0.736
O1 O 0.001 0.250 0.984
O2 O 0.006 0.250 0.485
O3 O 0.250 0.513 0.796
```

Formation energy from raw total energies in kJ/mol of formula units: -2452

=====

(7)
Material: ZnCdIn2
Method: DFT, GGA-PBE
State: relaxed

CIF file:
```
data_ZnCdIn2
_symmetry_space_group_name_H-M 'I m m 2'
_symmetry_Int_Tables_number 44
_cell_length_a 3.161
_cell_length_b 5.062
_cell_length_c 11.949
_cell_angle_alpha 90.00
_cell_angle_beta 90.00
_cell_angle_gamma 90.00
loop_
_symmetry_equiv_pos_as_xyz
'x,y,z'
'-x,-y,z'
'-x,y,z'
'x,-y,z'
'x+1/2,y+1/2,z+1/2'
'-x+1/2,-y+1/2,z+1/2'
'-x+1/2,y+1/2,z+1/2'
'x+1/2,-y+1/2,z+1/2'
loop_
_atom_site_label
_atom_site_type_symbol
_atom_site_fract_x
_atom_site_fract_y
_atom_site_fract_z
Zn1 Zn 0.000 0.000 0.000
Cd1 Cd 0.000 0.500 0.707
In1 In 0.000 0.000 0.506
In2 In 0.000 0.500 0.288
```

Formation energy from the elements in eV/atom: 0.079

=====

(8)
Material: ZrNpFeOs
Method: DFT, GGA-PBE
State: relaxed

CIF file:
```
data_ZrNpFeOs
_symmetry_space_group_name_H-M 'F -4 3 m'
_symmetry_Int_Tables_number 216
_symmetry_space_group_name_Hall 'F -4 2 3'
_cell_length_a 6.604
_cell_length_b 6.604
_cell_length_c 6.604
_cell_angle_alpha 90.00
_cell_angle_beta 90.00
_cell_angle_gamma 90.00
loop_
_atom_site_label
_atom_site_type_symbol
_atom_site_fract_x
_atom_site_fract_y
_atom_site_fract_z
Zr1 Zr 0.000 0.000 0.000
Np1 Np 0.000 0.000 0.500
Fe1 Fe 0.250 0.250 0.250
Os1 Os 0.250 0.250 0.750
```

Formation energy from the elements in eV/atom: -0.038

=====

| no. | Fermi-level density of states (states/eV/cell) |
| --- | --- |
| 1 | 11.1 |
| 2 | 9.3 |
| 3 | 23.3 |
| 4 | 5.5 |
| 5 | 1.8 |
| 6 | 0.6 |
| 7 | 2.7 |
| 8 | 12.8 |